Entry 1:
Sr2CePa3N8 after structural relaxation. Source: Alexandria, functional GGA-PBE.

Cell: 7.125 7.125 7.106 Å, 59.91 59.92 60.00°
Fractional coordinates of all 14 atoms:
Sr  0.119  0.119  0.644
Sr  0.500  0.500  0.500
Ce  0.884  0.884  0.347
Pa  0.498  0.005  0.999
Pa  0.005  0.498  0.999
Pa  0.498  0.498  0.999
N  0.270  0.270  0.190
N  0.737  0.737  0.788
N  0.251  0.251  0.812
N  0.685  0.251  0.813
N  0.251  0.685  0.813
N  0.760  0.275  0.205
N  0.275  0.760  0.205
N  0.760  0.760  0.205

Properties
ρ = 7.3 g/cm³
Symmetry = R3m (160)
Crystal system = trigonal
Uncorrected formation energy = -1.2934 eV/atom

Entry 2:
In2BiPb5 after structural relaxation. Source: Alexandria, functional GGA-PBE.

Cell: 8.507 8.507 9.141 Å, 117.73 117.73 90.00°
Fractional coordinates of all 16 atoms:
In  0.143  0.357  0.000
In  0.643  0.143  0.000
In  0.357  0.857  0.000
In  0.857  0.643  0.000
Bi  0.750  0.750  0.500
Bi  0.250  0.250  0.500
Pb  0.483  0.693  0.676
Pb  0.807  0.017  0.324
Pb  0.000  0.000  0.000
Pb  0.500  0.500  0.000
Pb  0.193  0.983  0.676
Pb  0.693  0.193  0.676
Pb  0.983  0.483  0.676
Pb  0.307  0.807  0.324
Pb  0.017  0.517  0.324
Pb  0.517  0.307  0.324

Properties
ΔE to the lowest computed polymorph = 36 meV per atom
ρ = 9.8 g/cm³
Symmetry = I4/mcm (140)
Crystal system = tetragonal
Formation enthalpy at 0 K = 1.15 kcal/mol of atoms

Entry 3:
RbPmBi4 after structural relaxation. Source: Alexandria, functional GGA-PBE.

Cell: 6.686 6.686 6.686 Å, 60.00 60.00 60.00°
Fractional coordinates of all 6 atoms:
Bi  0.625  0.625  0.124
Bi  0.625  0.124  0.625
Bi  0.625  0.625  0.625
Bi  0.124  0.625  0.625
Rb  0.250  0.250  0.250
Pm  0.000  0.000  0.000

Properties
ρ = 8.4 g/cm³
Symmetry = F-43m (216)
Crystal system = cubic
Formation enthalpy at 0 K = -3.95 kcal/mol of atoms

Entry 4:
InPW3 after structural relaxation. Source: Alexandria, functional GGA-PBE.

Cell: 4.885 4.885 4.885 Å, 90.00 90.00 90.00°
Fractional coordinates of all 5 atoms:
P  0.500  0.500  0.500
W  0.000  0.500  0.000
W  0.000  0.000  0.500
W  0.500  0.000  0.000
In  0.000  0.000  0.000

Properties
ΔE to the lowest computed polymorph = 2415 meV per atom
ρ = 9.9 g/cm³
Symmetry = Pm-3m (221)
Crystal system = cubic
Formation enthalpy at 0 K = 74.63 kcal/mol of atoms

Entry 5:
Ac4Pm3Ge5 after structural relaxation. Source: Alexandria, functional GGA-PBE.

Cell: 5.228 7.335 11.309 Å, 91.13 76.64 69.12°
Fractional coordinates of all 12 atoms:
Ac  0.869  0.268  0.995
Ac  0.216  0.893  0.676
Ac  0.784  0.107  0.324
Ac  0.131  0.732  0.005
Pm  0.539  0.652  0.269
Pm  0.000  0.500  0.500
Pm  0.461  0.348  0.731
Ge  0.571  0.985  0.874
Ge  0.500  0.500  0.500
Ge  0.197  0.402  0.203
Ge  0.803  0.598  0.797
Ge  0.429  0.015  0.126

Properties
ρ = 7.2 g/cm³
Symmetry = C2/m (12)
Crystal system = monoclinic
Formation enthalpy at 0 K = -10.86 kcal/mol of atoms

Entry 6:
InTcRh3 after structural relaxation. Source: Alexandria, functional GGA-PBE.

Cell: 4.693 4.693 4.693 Å, 90.00 90.00 90.00°
Fractional coordinates of all 5 atoms:
Rh  0.000  0.500  0.000
Rh  0.000  0.000  0.500
Rh  0.500  0.000  0.000
Tc  0.000  0.000  0.000
In  0.500  0.500  0.500

Properties
ΔE to the lowest computed polymorph = 0 meV per atom
ρ = 8.4 g/cm³
Symmetry = Pm-3m (221)
Crystal system = cubic
Formation enthalpy at 0 K = 21.56 kcal/mol of atoms